# LiCdRu2

LiCdRu2 after structural relaxation (GGA-PBE, Alexandria).

Calculated values
SG: I-4m2, No. 119
Mass density, g cm⁻³: 8.960
Calculated formation energy, eV per atom: 0.22
Raw total energy, eV/f.u.: -20.5
Total magnetic moment, μB per formula unit: 0.00

Lattice parameters (Å, degrees): 4.3974 4.3974 4.3974 120.59 120.59 88.98
Fractional positions:
Li 0.0000 0.0000 0.0000
Cd 0.7500 0.2500 0.5000
Ru 0.2500 0.7500 0.5000
Ru 0.5000 0.5000 0.0000


# Ta2RuSe

Ta2RuSe after structural relaxation (GGA-PBE, Alexandria).

Calculated values
E_form (uncorrected), eV/atom: 0.358
SG: F-43m, No. 216
Mass density, g cm⁻³: 13.405
Raw total energy, eV/f.u.: -35.0
Total magnetic moment, μB per formula unit: 0.00

Lattice parameters (Å, degrees): 4.5619 4.5619 4.5619 60.00 60.00 60.00
Fractional positions:
Ta 0.0000 0.0000 0.0000
Ta 0.2500 0.2500 0.2500
Ru 0.5000 0.5000 0.5000
Se 0.7500 0.7500 0.7500


# NdSm3Dy2

NdSm3Dy2 after structural relaxation (GGA-PBE, Alexandria).

Calculated values
Distance to the lowest polymorph of the same formula, kcal/mol of atoms: 0.10
SG: C2/c, No. 15
Mass density, g cm⁻³: 7.674
Calculated formation energy, eV per atom: 0.02
Raw total energy, eV/f.u.: -28.0
Total magnetic moment, μB per formula unit: 0.00

Lattice parameters (Å, degrees): 9.5519 9.5519 6.2457 90.06 90.06 44.34
Fractional positions:
Nd 0.1263 0.8737 0.7500
Nd 0.8737 0.1263 0.2500
Sm 0.0424 0.2934 0.9157
Sm 0.2934 0.0424 0.4157
Sm 0.3757 0.6243 0.2500
Sm 0.6243 0.3757 0.7500
Sm 0.7066 0.9576 0.5843
Sm 0.9576 0.7066 0.0843
Dy 0.2085 0.4569 0.5828
Dy 0.4569 0.2085 0.0828
Dy 0.5431 0.7915 0.9172
Dy 0.7915 0.5431 0.4172


# MnReSe

MnReSe after structural relaxation (GGA-PBE, Alexandria).

Calculated values
E_form (uncorrected), eV/atom: 0.323
Distance to the lowest polymorph of the same formula, kcal/mol of atoms: 0.00
SG: I4mm, No. 107
Mass density, g cm⁻³: 12.776
Raw total energy, eV/f.u.: -24.1
Total magnetic moment, μB per formula unit: 0.00

Lattice parameters (Å, degrees): 5.3296 5.3296 5.3296 148.33 148.33 45.40
Fractional positions:
Mn 0.0000 0.0000 0.0000
Re 0.3396 0.3396 0.0000
Se 0.6613 0.6613 0.0000


# La2InAuI

La2InAuI after structural relaxation (GGA-PBE, Alexandria).

Calculated values
E_form (uncorrected), eV/atom: -0.041
SG: P4/mmm, No. 123
Mass density, g cm⁻³: 6.210
Raw total energy, eV/f.u.: -17.6
Total magnetic moment, μB per formula unit: 0.00

Lattice parameters (Å, degrees): 5.7826 5.7826 5.7295 90.00 90.00 90.00
Fractional positions:
La 0.0000 0.5000 0.0000
La 0.5000 0.0000 0.0000
In 0.0000 0.0000 0.5000
Au 0.5000 0.5000 0.0000
I 0.5000 0.5000 0.5000


# ZrIn2Sb

ZrIn2Sb after structural relaxation (GGA-PBE, Alexandria).

Calculated values
E_form (uncorrected), eV/atom: -0.254
SG: P4mm, No. 99
Mass density, g cm⁻³: 7.628
Raw total energy, eV/f.u.: -19.2
Total magnetic moment, μB per formula unit: 0.00

Lattice parameters (Å, degrees): 3.9055 3.9055 6.3173 90.00 90.00 90.00
Fractional positions:
Zr 0.0000 0.0000 0.0000
In 0.0000 0.0000 0.5029
In 0.5000 0.5000 0.2669
Sb 0.5000 0.5000 0.7908